No. 1
A relaxed ScTc2Te crystal, computed with PBE.

```
ScTc2Te
1.0
4.638 0.000 0.000
2.319 4.016 0.000
2.319 1.339 3.787
Sc Te Tc
1 1 2
direct
0.500 0.500 0.500 Sc
0.750 0.750 0.750 Te
0.250 0.250 0.250 Tc
0.000 0.000 0.000 Tc
```

Summary:
Crystal system: cubic
SG: F-43m, No. 216

***

No. 2
A relaxed Sc2TcTe crystal, computed with PBE.

```
Sc2TcTe
1.0
-0.015 -3.299 -2.936
2.168 -1.898 2.122
-3.079 -3.023 3.413
Te Tc Sc
1 1 2
direct
0.500 0.552 0.776 Te
0.000 0.711 0.445 Tc
0.500 0.268 0.335 Sc
0.000 0.970 0.943 Sc
```

Summary:
Crystal system: monoclinic
SG: Pm, No. 6

***

No. 3
A relaxed ScTcTe crystal, computed with PBE.

```
ScTcTe
1.0
-2.431 -2.051 1.146
2.783 0.520 1.847
-2.789 4.887 2.827
Sc Tc Te
1 1 1
direct
0.000 0.000 0.026 Sc
0.667 0.333 0.337 Tc
0.333 0.667 0.638 Te
```

Summary:
Crystal system: trigonal
SG: P3m1, No. 156
ΔE to the lowest computed polymorph (meV/atom): 236.5

***

No. 4
A relaxed ScTc2Te crystal, computed with PBE.

```
ScTc2Te
1.0
-3.179 -6.781 -1.597
6.948 -3.213 -0.187
1.707 -5.534 1.739
Tc Te Sc
4 2 2
direct
0.101 0.625 0.250 Tc
0.375 0.351 0.750 Tc
0.649 0.125 0.250 Tc
0.875 0.899 0.750 Tc
0.750 0.250 0.500 Te
0.000 0.000 0.000 Te
0.500 0.500 0.000 Sc
0.250 0.750 0.500 Sc
```

Summary:
Crystal system: tetragonal
SG: I-42d, No. 122

***

No. 5
A relaxed Sc2TcTe crystal, computed with PBE.

```
Sc2TcTe
1.0
-3.357 1.895 -7.651
-6.158 1.847 -5.662
-4.210 4.672 -5.818
Te Tc Sc
1 1 2
direct
0.750 0.750 0.750 Te
0.250 0.250 0.250 Tc
0.509 0.509 0.509 Sc
0.991 0.991 0.991 Sc
```

Summary:
Crystal system: trigonal
SG: R-3m, No. 166

***

No. 6
A relaxed ScTc2Te crystal, computed with PBE.

```
ScTc2Te
1.0
4.518 0.000 0.000
0.000 3.158 -0.004
0.000 1.304 5.008
Tc Te Sc
2 1 1
direct
0.000 0.022 0.041 Tc
0.500 0.346 0.218 Tc
0.000 0.351 0.502 Te
0.500 0.781 0.739 Sc
```

Summary:
Crystal system: monoclinic
SG: Pm, No. 6

***

No. 7
A relaxed ScTc2Te crystal, computed with PBE.

```
ScTc2Te
1.0
4.646 0.000 0.000
0.000 3.229 0.003
0.000 0.075 4.987
Tc Sc Te
2 1 1
direct
0.000 0.396 0.527 Tc
0.000 0.104 0.973 Tc
0.500 0.750 0.750 Sc
0.500 0.250 0.250 Te
```

Summary:
Crystal system: monoclinic
SG: P2/m, No. 10

***

No. 8
A relaxed ScTc2Te crystal, computed with PBE.

```
ScTc2Te
1.0
3.133 0.000 0.000
0.000 3.133 0.000
0.000 0.000 7.590
Tc Sc Te
2 1 1
direct
0.000 0.000 0.027 Tc
0.500 0.500 0.213 Tc
0.500 0.500 0.784 Sc
0.000 0.000 0.476 Te
```

Summary:
Crystal system: tetragonal
SG: P4mm, No. 99

***

| no. | VASP energy (hartree per atom) | total moment (μB per atom) |
| --- | --- | --- |
| 1 | -0.2694 | 0.1053 |
| 2 | -0.2574 | 0.0000 |
| 3 | -0.2437 | 0.0000 |
| 4 | -0.2546 | 0.0008 |
| 5 | -0.2527 | 0.0000 |
| 6 | -0.2780 | 0.0000 |
| 7 | -0.2739 | 0.0000 |
| 8 | -0.2792 | 0.0000 |